# 1
Tb4Y5Th: relaxed, GGA-PBE.

Calculated values
VASP energy: -5.50 eV per atom
theoretical density: 6533 kg/m3

Cell: 7.9067 7.9067 7.9067 Å, 99.33 99.33 132.51°
Closest atoms and distances in Å follow each position.
Positions (direct):
Tb1 0.0494 0.3478 0.3971  4 Y 3.22-3.55, 1 Tb 3.28
Tb2 0.3478 0.9506 0.2984  4 Y 3.22-3.55, 1 Tb 3.28
Tb3 0.6522 0.0494 0.7016  4 Y 3.22-3.55, 1 Tb 3.28
Tb4 0.9506 0.6522 0.6029  4 Y 3.22-3.55, 1 Tb 3.28
Y1 0.2395 0.2395 0.0000  1 Th 2.96, 4 Y 3.28
Y2 0.2697 0.6489 0.9136  4 Tb 3.22-3.55, 1 Y 3.28, 1 Th 3.31
Y3 0.3562 0.2697 0.6208  4 Tb 3.22-3.55, 1 Y 3.28, 1 Th 3.31
Y4 0.6489 0.7354 0.3792  4 Tb 3.22-3.55, 1 Y 3.28, 1 Th 3.31
Y5 0.7354 0.3562 0.0864  4 Tb 3.22-3.55, 1 Y 3.28, 1 Th 3.31
Th1 0.7754 0.7754 0.0000  5 Y 2.96-3.31



# 2
Tb2Y3Th4: relaxed, GGA-PBE.

Calculated values
VASP energy: -6.45 eV per atom
theoretical density: 8635 kg/m3

Cell: 7.9736 7.9736 8.0410 Å, 107.75 107.75 36.93°
Closest atoms and distances in Å follow each position.
Positions (direct):
Tb1 0.0600 0.0600 0.3324  5 Th 3.51-3.65, 6 Y 3.58-3.65, 1 Tb 3.70
Tb2 0.9400 0.9400 0.6676  5 Th 3.51-3.65, 6 Y 3.58-3.65, 1 Tb 3.70
Y1 0.3852 0.3852 0.3301  6 Th 3.46-3.59, 4 Tb 3.60-3.65, 2 Y 3.61-3.66
Y2 0.5000 0.5000 0.0000  6 Th 3.57-3.60, 4 Tb 3.58, 2 Y 3.61
Y3 0.6148 0.6148 0.6699  6 Th 3.46-3.59, 4 Tb 3.60-3.65, 2 Y 3.61-3.66
Th1 0.1698 0.1698 0.0039  5 Y 3.46-3.60, 5 Th 3.52-3.57, 2 Tb 3.54-3.65
Th2 0.2769 0.2769 0.6671  3 Tb 3.51-3.53, 4 Y 3.53-3.59, 5 Th 3.56-3.59
Th3 0.7231 0.7231 0.3329  3 Tb 3.51-3.53, 4 Y 3.53-3.59, 5 Th 3.56-3.59
Th4 0.8302 0.8302 0.9961  5 Y 3.46-3.60, 5 Th 3.52-3.57, 2 Tb 3.54-3.65



# 3
Tb2Y5Th4: relaxed, GGA-PBE.

Calculated values
ΔE to the lowest computed polymorph: 0.178 eV/atom
theoretical density: 7689 kg/m3

Cell: 9.0438 9.0438 6.5797 Å, 98.14 98.14 43.35°
Closest atoms and distances in Å follow each position.
Positions (direct):
Tb1 0.1979 0.1979 0.3240  5 Th 3.36-3.67, 3 Y 3.53-3.69
Tb2 0.8021 0.8021 0.6760  5 Th 3.36-3.67, 3 Y 3.53-3.69
Y1 0.0000 0.0000 0.5000  4 Y 3.34, 2 Tb 3.69
Y2 0.1729 0.6533 0.0931  4 Y 3.21-3.47, 2 Th 3.32-3.40, 1 Tb 3.53
Y3 0.3467 0.8271 0.9069  4 Y 3.21-3.47, 2 Th 3.32-3.40, 1 Tb 3.53
Y4 0.6533 0.1729 0.0931  4 Y 3.21-3.47, 2 Th 3.32-3.40, 1 Tb 3.53
Y5 0.8271 0.3467 0.9069  4 Y 3.21-3.47, 2 Th 3.32-3.40, 1 Tb 3.53
Th1 0.2489 0.2489 0.8388  1 Th 3.31, 4 Y 3.32-3.40, 4 Tb 3.36-3.66
Th2 0.4062 0.4062 0.5905  2 Th 3.31-3.54, 4 Y 3.66, 1 Tb 3.67
Th3 0.5938 0.5938 0.4095  2 Th 3.31-3.54, 4 Y 3.66, 1 Tb 3.67
Th4 0.7511 0.7511 0.1612  1 Th 3.31, 4 Y 3.32-3.40, 4 Tb 3.36-3.66



# 4
Tb5Y2Th: relaxed, GGA-PBE.

Calculated values
ΔE to the lowest computed polymorph: 0.000 eV/atom
theoretical density: 7778 kg/m3

Cell: 7.1336 14.2870 5.0462 Å, 90.00 90.00 90.00°
Closest atoms and distances in Å follow each position.
Positions (direct):
Tb1 0.0000 0.0000 0.0000  2 Th 3.57, 6 Tb 3.57-3.59, 4 Y 3.58
Tb2 0.0027 0.2512 0.0000  7 Tb 3.55-3.61, 1 Th 3.55, 4 Y 3.56-3.60
Tb3 0.2466 0.3767 0.5000  4 Y 3.50-3.64, 2 Th 3.54, 6 Tb 3.55-3.61
Tb4 0.2534 0.8767 0.5000  4 Y 3.50-3.64, 2 Th 3.54, 6 Tb 3.55-3.61
Tb5 0.4973 0.7512 0.0000  7 Tb 3.55-3.61, 1 Th 3.55, 4 Y 3.56-3.60
Tb6 0.5000 0.5000 0.0000  2 Th 3.57, 6 Tb 3.57-3.59, 4 Y 3.58
Tb7 0.5027 0.2488 0.0000  7 Tb 3.55-3.61, 1 Th 3.55, 4 Y 3.56-3.60
Tb8 0.7466 0.1233 0.5000  4 Y 3.50-3.64, 2 Th 3.54, 6 Tb 3.55-3.61
Tb9 0.7534 0.6233 0.5000  4 Y 3.50-3.64, 2 Th 3.54, 6 Tb 3.55-3.61
Tb10 0.9973 0.7488 0.0000  7 Tb 3.55-3.61, 1 Th 3.55, 4 Y 3.56-3.60
Y1 0.2438 0.6233 0.5000  10 Tb 3.50-3.64, 2 Th 3.53
Y2 0.2562 0.1233 0.5000  10 Tb 3.50-3.64, 2 Th 3.53
Y3 0.7438 0.8767 0.5000  10 Tb 3.50-3.64, 2 Th 3.53
Y4 0.7562 0.3767 0.5000  10 Tb 3.50-3.64, 2 Th 3.53
Th1 0.0000 0.5000 0.0000  4 Y 3.53, 8 Tb 3.54-3.57
Th2 0.5000 0.0000 0.0000  4 Y 3.53, 8 Tb 3.54-3.57



# 5
Tb2Y2Th5: relaxed, GGA-PBE.

Calculated values
VASP energy: -6.53 eV per atom
theoretical density: 9476 kg/m3

Cell: 6.1772 6.1827 9.4393 Å, 89.91 71.21 60.07°
Closest atoms and distances in Å follow each position.
Positions (direct):
Tb1 0.1682 0.1663 0.0002  3 Tb 3.55-3.58, 7 Th 3.56-3.59, 2 Y 3.59
Tb2 0.8318 0.8337 0.9998  3 Tb 3.55-3.58, 7 Th 3.56-3.59, 2 Y 3.59
Y1 0.3897 0.7206 0.6660  9 Th 3.55-3.59, 1 Y 3.56, 2 Tb 3.59
Y2 0.6103 0.2794 0.3340  9 Th 3.55-3.59, 1 Y 3.56, 2 Tb 3.59
Th1 0.0531 0.3905 0.6657  6 Th 3.53-3.59, 4 Y 3.55-3.59, 2 Tb 3.58
Th2 0.2754 0.9463 0.3350  4 Y 3.55-3.57, 6 Th 3.55-3.59, 2 Tb 3.57-3.59
Th3 0.5000 0.5000 0.0000  6 Tb 3.56-3.58, 2 Y 3.56, 4 Th 3.58-3.59
Th4 0.7246 0.0537 0.6650  4 Y 3.55-3.57, 6 Th 3.55-3.59, 2 Tb 3.57-3.59
Th5 0.9469 0.6095 0.3343  6 Th 3.53-3.59, 4 Y 3.55-3.59, 2 Tb 3.58



# 6
Tb2YTh: relaxed, GGA-PBE.

Calculated values
ΔE to the lowest computed polymorph: 0.032 eV/atom
theoretical density: 8177 kg/m3

Cell: 3.5583 6.8011 11.1026 Å, 90.59 90.03 105.06°
Closest atoms and distances in Å follow each position.
Positions (direct):
Tb1 0.0199 0.0386 0.2490  5 Tb 3.48-3.56, 4 Y 3.70-3.73, 4 Th 3.72-3.73
Tb2 0.2459 0.4915 0.7454  3 Th 3.35-3.46, 3 Y 3.39-3.56, 5 Tb 3.48-3.56
Tb3 0.7541 0.5085 0.2546  3 Th 3.35-3.46, 3 Y 3.39-3.56, 5 Tb 3.48-3.56
Tb4 0.9801 0.9614 0.7510  5 Tb 3.48-3.56, 4 Y 3.70-3.73, 4 Th 3.72-3.73
Y1 0.3694 0.7393 0.0144  7 Tb 3.39-3.73, 5 Y 3.44-3.63
Y2 0.6306 0.2607 0.9856  7 Tb 3.39-3.73, 5 Y 3.44-3.63
Th1 0.3708 0.7431 0.4843  7 Tb 3.35-3.73, 5 Th 3.39-3.68
Th2 0.6292 0.2569 0.5157  7 Tb 3.35-3.73, 5 Th 3.39-3.68



Question: Which of these has the highest theoretical density?
Answer: Tb2Y2Th5



Question: The highest theoretical density belongs to which entry?
Answer: Tb2Y2Th5



Question: Which value of theoretical density does entry 1 give?
Answer: 6533 kg/m3



Copy entry 3 word for word.
Tb2Y5Th4: relaxed, GGA-PBE.

Calculated values
ΔE to the lowest computed polymorph: 0.178 eV/atom
theoretical density: 7689 kg/m3

Cell: 9.0438 9.0438 6.5797 Å, 98.14 98.14 43.35°
Closest atoms and distances in Å follow each position.
Positions (direct):
Tb1 0.1979 0.1979 0.3240  5 Th 3.36-3.67, 3 Y 3.53-3.69
Tb2 0.8021 0.8021 0.6760  5 Th 3.36-3.67, 3 Y 3.53-3.69
Y1 0.0000 0.0000 0.5000  4 Y 3.34, 2 Tb 3.69
Y2 0.1729 0.6533 0.0931  4 Y 3.21-3.47, 2 Th 3.32-3.40, 1 Tb 3.53
Y3 0.3467 0.8271 0.9069  4 Y 3.21-3.47, 2 Th 3.32-3.40, 1 Tb 3.53
Y4 0.6533 0.1729 0.0931  4 Y 3.21-3.47, 2 Th 3.32-3.40, 1 Tb 3.53
Y5 0.8271 0.3467 0.9069  4 Y 3.21-3.47, 2 Th 3.32-3.40, 1 Tb 3.53
Th1 0.2489 0.2489 0.8388  1 Th 3.31, 4 Y 3.32-3.40, 4 Tb 3.36-3.66
Th2 0.4062 0.4062 0.5905  2 Th 3.31-3.54, 4 Y 3.66, 1 Tb 3.67
Th3 0.5938 0.5938 0.4095  2 Th 3.31-3.54, 4 Y 3.66, 1 Tb 3.67
Th4 0.7511 0.7511 0.1612  1 Th 3.31, 4 Y 3.32-3.40, 4 Tb 3.36-3.66